Entry 1:
The following is a PBE calculation of crystalline Ac2Sb3Rh6Pb at its relaxed geometry, from Alexandria.

- volume (Å³ per cell) = 296.63
- total energy (eV for the cell shown) = -73.65
- uncorrected formation energy (eV per atom) = -0.44
- total magnetization (Bohr magnetons per cell) = 0.00

a = 4.228 Å, b = 4.228 Å, c = 16.593 Å
α = 90.00°, β = 90.00°, γ = 90.00°
Space group P4/mmm (No. 123)
One atom of each set of equivalent atoms:
Ac1 0.000 0.000 0.179 (multiplicity 2)
Sb1 0.500 0.500 0.000 (multiplicity 1)
Sb2 0.500 0.500 0.307 (multiplicity 2)
Rh1 0.000 0.500 0.394 (multiplicity 4)
Rh2 0.500 0.500 0.152 (multiplicity 2)
Pb1 0.000 0.000 0.500 (multiplicity 1)


Entry 2:
The following is a PBE calculation of crystalline AcSbRh3Pb at its relaxed geometry, from Alexandria.

- volume (Å³ per cell) = 595.60
- total energy (eV for the cell shown) = -146.44
- uncorrected formation energy (eV per atom) = -0.44
- total magnetization (Bohr magnetons per cell) = 0.00

a = 5.919 Å, b = 16.940 Å, c = 5.940 Å
α = 90.00°, β = 90.00°, γ = 90.00°
Space group Cmcm (No. 63)
One atom of each set of equivalent atoms:
Ac1 0.000 0.242 0.250 (multiplicity 4)
Sb1 0.000 0.412 0.750 (multiplicity 4)
Rh1 0.000 0.260 0.750 (multiplicity 4)
Rh2 0.248 0.000 0.000 (multiplicity 8)
Pb1 0.000 0.101 0.750 (multiplicity 4)